# 1
Entry from Alexandria via LeMat-Bulk: BeGeI2 after structural relaxation (GGA-PBE).

Summary:
V: 122.5 Å³/f.u.
Energy: -19.206 eV/cell

Unit cell a=7.078 b=7.078 c=6.997 alpha=59.61 beta=59.61 gamma=90.00
Positions (direct):
1 I 0.544 0.125 0.250
2 I 0.206 0.625 0.250
3 I 0.375 0.456 0.750
4 I 0.875 0.794 0.750
5 Be 0.500 0.500 0.000
6 Be 0.250 0.750 0.500
7 Ge 0.000 0.000 0.000
8 Ge 0.750 0.250 0.500

***

# 2
Entry from Alexandria via LeMat-Bulk: BeGe3I after structural relaxation (GGA-PBE).

Summary:
V: 106.3 Å³/f.u.
Energy: -16.447 eV/cell

Unit cell a=4.737 b=4.737 c=4.737 alpha=90.00 beta=90.00 gamma=90.00
Positions (direct):
1 I 0.500 0.500 0.500
2 Be 0.000 0.000 0.000
3 Ge 0.000 0.500 0.000
4 Ge 0.000 0.000 0.500
5 Ge 0.500 0.000 0.000

***

# 3
Entry from Alexandria via LeMat-Bulk: BeGeI2 after structural relaxation (GGA-PBE).

Summary:
V: 102.1 Å³/f.u.
Energy: -8.558 eV/cell

Unit cell a=5.246 b=5.246 c=5.246 alpha=60.00 beta=60.00 gamma=60.00
Positions (direct):
1 I 0.250 0.250 0.250
2 I 0.750 0.750 0.750
3 Be 0.000 0.000 0.000
4 Ge 0.500 0.500 0.500

***

# 4
Entry from Alexandria via LeMat-Bulk: Be2GeI after structural relaxation (GGA-PBE).

Summary:
V: 84.6 Å³/f.u.
Energy: -24.266 eV/cell

Unit cell a=5.561 b=5.561 c=6.739 alpha=65.63 beta=65.63 gamma=90.00
Positions (direct):
1 I 0.000 0.000 0.000
2 I 0.750 0.250 0.500
3 Be 0.580 0.125 0.250
4 Be 0.170 0.625 0.250
5 Be 0.375 0.420 0.750
6 Be 0.875 0.830 0.750
7 Ge 0.500 0.500 0.000
8 Ge 0.250 0.750 0.500

***

# 5
Entry from Alexandria via LeMat-Bulk: BeGe3I after structural relaxation (GGA-PBE).

Summary:
V: 162.2 Å³/f.u.
Energy: -10.811 eV/cell

Unit cell a=5.454 b=5.454 c=5.454 alpha=90.00 beta=90.00 gamma=90.00
Positions (direct):
1 I 0.000 0.000 0.000
2 Be 0.500 0.500 0.500
3 Ge 0.000 0.500 0.000
4 Ge 0.000 0.000 0.500
5 Ge 0.500 0.000 0.000

***

# 6
Entry from Alexandria via LeMat-Bulk: MgBeGe2I after structural relaxation (GGA-PBE).

Summary:
V: 131.3 Å³/f.u.
Energy: -11.691 eV/cell

Unit cell a=5.216 b=4.828 c=5.216 alpha=90.00 beta=90.00 gamma=90.00
Positions (direct):
1 I 0.500 0.500 0.500
2 Be 0.000 0.500 0.000
3 Ge 0.000 0.000 0.500
4 Ge 0.500 0.000 0.000
5 Mg 0.000 0.000 0.000

***

# 7
Entry from Alexandria via LeMat-Bulk: BeNi2GeI after structural relaxation (GGA-PBE).

Summary:
V: 90.4 Å³/f.u.
Energy: -18.064 eV/cell

Unit cell a=4.626 b=4.626 c=4.223 alpha=90.00 beta=90.00 gamma=90.00
Positions (direct):
1 I 0.500 0.500 0.500
2 Ni 0.000 0.500 0.000
3 Ni 0.500 0.000 0.000
4 Ge 0.000 0.000 0.000
5 Be 0.000 0.000 0.500

***

# 8
Entry from Alexandria via LeMat-Bulk: BeGeI2O after structural relaxation (GGA-PBE).

Summary:
V: 124.8 Å³/f.u.
Energy: -19.163 eV/cell

Unit cell a=6.515 b=6.515 c=2.941 alpha=90.00 beta=90.00 gamma=90.00
Positions (direct):
1 I 0.000 0.500 0.000
2 I 0.500 0.000 0.000
3 Be 0.000 0.000 0.000
4 Ge 0.500 0.500 0.500
5 O 0.000 0.000 0.500

***

Number 1: raw formation energy 0.46 eV per atom, DOS at the Fermi energy 0.43 states/eV per atom. Number 2: raw formation energy 0.54 eV per atom, DOS at the Fermi energy 0.73 states/eV per atom. Number 3: raw formation energy 0.72 eV per atom, DOS at the Fermi energy 0.56 states/eV per atom. Number 4: raw formation energy 0.37 eV per atom, DOS at the Fermi energy 0.66 states/eV per atom. Number 5: raw formation energy 1.66 eV per atom, DOS at the Fermi energy 0.85 states/eV per atom. Number 6: raw formation energy 0.88 eV per atom, DOS at the Fermi energy 0.81 states/eV per atom. Number 7: raw formation energy 0.68 eV per atom, DOS at the Fermi energy 1.37 states/eV per atom. Number 8: raw formation energy -0.55 eV per atom, DOS at the Fermi energy 0.25 states/eV per atom.